# 1
{
  "formula": "LiYMg2",
  "functional": "SCAN",
  "state": "PBEsol geometry",
  "dos_ef_per_ev_cell": 2.228,
  "formation_energy_ev_per_fu": 0.07,
  "volume_a3_per_atom": 23.50,
  "de_polymorph_ev_per_fu": 0.359,
  "lattice": [[3.7006, 0.0000, 0.0000], [0.0000, 5.2073, 0.0000], [-1.8503, -2.6036, 4.8776]],
  "species": ["Y", "Mg", "Mg", "Li"],
  "frac_coords": [[0.0000, 0.5000, 0.0000], [0.7776, 0.7776, 0.5553], [0.2224, 0.2224, 0.4447], [0.5000, 0.0000, 0.0000]]
}

***

# 2
{
  "formula": "LiYMg",
  "functional": "SCAN",
  "state": "PBEsol geometry",
  "dos_ef_per_ev_cell": 1.973,
  "formation_energy_ev_per_fu": 0.08,
  "volume_a3_per_atom": 24.16,
  "lattice": [[3.1886, 0.0000, 0.0000], [0.0000, 5.1233, 0.0000], [0.0000, -2.5617, 4.4369]],
  "species": ["Y", "Mg", "Li"],
  "frac_coords": [[0.3331, 0.3333, 0.6667], [0.8323, 0.6667, 0.3333], [0.8347, 0.0000, 0.0000]]
}

***

# 3
{
  "formula": "LiYMg2",
  "functional": "SCAN",
  "state": "PBEsol geometry",
  "dos_ef_per_ev_cell": 4.340,
  "formation_energy_ev_per_fu": 1.12,
  "volume_a3_per_atom": 25.11,
  "de_polymorph_ev_per_fu": 1.416,
  "lattice": [[-4.2486, -0.7199, -0.0937], [0.7252, -4.1830, -0.7443], [1.8453, 0.5710, 11.0682]],
  "species": ["Y", "Y", "Mg", "Mg", "Mg", "Mg", "Li", "Li"],
  "frac_coords": [[0.2500, 0.7500, 0.5000], [0.0000, 0.0000, 0.0000], [0.4006, 0.8750, 0.2500], [0.8494, 0.3750, 0.2500], [0.1250, 0.1506, 0.7500], [0.6250, 0.5994, 0.7500], [0.7500, 0.2500, 0.5000], [0.5000, 0.5000, 0.0000]]
}

***

# 4
{
  "formula": "LiYMg2",
  "functional": "SCAN",
  "state": "PBEsol geometry",
  "dos_ef_per_ev_cell": 2.572,
  "formation_energy_ev_per_fu": -0.14,
  "volume_a3_per_atom": 22.89,
  "de_polymorph_ev_per_fu": 0.156,
  "lattice": [[5.0589, 0.0000, 0.0000], [2.5295, 4.3811, 0.0000], [2.5295, 1.4604, 4.1306]],
  "species": ["Y", "Mg", "Mg", "Li"],
  "frac_coords": [[0.2500, 0.2500, 0.2500], [0.0000, 0.0000, 0.0000], [0.7500, 0.7500, 0.7500], [0.5000, 0.5000, 0.5000]]
}

***

# 5
{
  "formula": "LiYMg2",
  "functional": "SCAN",
  "state": "PBEsol geometry",
  "dos_ef_per_ev_cell": 2.700,
  "formation_energy_ev_per_fu": 0.13,
  "volume_a3_per_atom": 24.40,
  "de_polymorph_ev_per_fu": 0.420,
  "lattice": [[3.2894, 0.0000, 0.0000], [1.6447, 2.8487, 0.0000], [1.6447, 0.9496, 10.4138]],
  "species": ["Li", "Mg", "Mg", "Y"],
  "frac_coords": [[0.0000, 0.0000, 0.0000], [0.2557, 0.2557, 0.2330], [0.7443, 0.7443, 0.7670], [0.5000, 0.5000, 0.5000]]
}

***

# 6
{
  "formula": "LiYMg2",
  "functional": "SCAN",
  "state": "PBEsol geometry",
  "dos_ef_per_ev_cell": 1.997,
  "formation_energy_ev_per_fu": 0.05,
  "volume_a3_per_atom": 23.93,
  "de_polymorph_ev_per_fu": 0.345,
  "lattice": [[-0.0291, 3.4571, -1.1593], [-4.0369, -1.1125, -3.2161], [-1.1715, 0.0122, 5.8003]],
  "species": ["Li", "Mg", "Mg", "Y"],
  "frac_coords": [[0.7292, 0.2292, 0.4585], [0.0107, 0.0107, 0.0215], [0.2663, 0.7663, 0.5326], [0.4937, 0.4937, 0.9874]]
}

***

# 7
{
  "formula": "LiYMg2",
  "functional": "SCAN",
  "state": "PBEsol geometry",
  "dos_ef_per_ev_cell": 3.556,
  "formation_energy_ev_per_fu": 0.07,
  "volume_a3_per_atom": 23.56,
  "de_polymorph_ev_per_fu": 0.361,
  "lattice": [[5.1080, 0.0000, 0.0000], [2.5540, 4.4236, 0.0000], [2.5540, 1.4745, 4.1707]],
  "species": ["Y", "Mg", "Mg", "Li"],
  "frac_coords": [[0.0000, 0.0000, 0.0000], [0.2500, 0.2500, 0.2500], [0.7500, 0.7500, 0.7500], [0.5000, 0.5000, 0.5000]]
}

***

# 8
{
  "formula": "LiYMg2",
  "functional": "SCAN",
  "state": "PBEsol geometry",
  "dos_ef_per_ev_cell": 2.408,
  "formation_energy_ev_per_fu": -0.04,
  "volume_a3_per_atom": 23.41,
  "de_polymorph_ev_per_fu": 0.252,
  "lattice": [[3.5983, 0.0000, 0.0000], [0.0000, 3.5983, 0.0000], [0.0000, 0.0000, 7.2326]],
  "species": ["Y", "Mg", "Mg", "Li"],
  "frac_coords": [[0.0000, 0.0000, 0.5068], [0.0000, 0.0000, 0.9849], [0.5000, 0.5000, 0.2297], [0.5000, 0.5000, 0.7786]]
}

***

# 9
{
  "formula": "LiYMg2",
  "functional": "SCAN",
  "state": "PBEsol geometry",
  "dos_ef_per_ev_cell": 2.828,
  "formation_energy_ev_per_fu": -0.29,
  "volume_a3_per_atom": 23.45,
  "de_polymorph_ev_per_fu": 0.000,
  "lattice": [[-2.7570, -0.9762, 1.9360], [1.3758, -3.2083, 0.3414], [3.6423, 2.2336, 6.3131]],
  "species": ["Y", "Mg", "Mg", "Li"],
  "frac_coords": [[0.5000, 0.5000, 0.0000], [0.0000, 0.0000, 0.7162], [0.0000, 0.0000, 0.2838], [0.5000, 0.5000, 0.5000]]
}

***

# 10
{
  "formula": "Li4YMg",
  "functional": "SCAN",
  "state": "PBEsol geometry",
  "dos_ef_per_ev_cell": 2.812,
  "formation_energy_ev_per_fu": 0.15,
  "volume_a3_per_atom": 20.75,
  "lattice": [[-4.2618, 1.0988, 3.4708], [-5.2509, -1.2189, -1.5359], [-2.7432, -4.2066, 2.4892]],
  "species": ["Y", "Mg", "Li", "Li", "Li", "Li"],
  "frac_coords": [[0.0000, 0.0000, 0.0000], [0.7500, 0.7500, 0.7500], [0.3761, 0.3761, 0.3761], [0.3761, 0.3761, 0.8716], [0.8716, 0.3761, 0.3761], [0.3761, 0.8716, 0.3761]]
}

***

# 11
{
  "formula": "Li2MgZn2",
  "functional": "SCAN",
  "state": "PBEsol geometry",
  "dos_ef_per_ev_cell": 3.005,
  "formation_energy_ev_per_fu": -0.74,
  "volume_a3_per_atom": 16.07,
  "lattice": [[-1.7102, -2.3329, -0.9545], [0.0115, -2.7576, 6.7194], [-6.0104, 3.7690, 1.5571]],
  "species": ["Zn", "Zn", "Zn", "Zn", "Mg", "Mg", "Li", "Li", "Li", "Li"],
  "frac_coords": [[0.0000, 0.3739, 0.8739], [0.0000, 0.8739, 0.6261], [0.0000, 0.6261, 0.1261], [0.0000, 0.1261, 0.3739], [0.0000, 0.0000, 0.0000], [0.0000, 0.5000, 0.5000], [0.5000, 0.1676, 0.6676], [0.5000, 0.6676, 0.8324], [0.5000, 0.8324, 0.3324], [0.5000, 0.3324, 0.1676]]
}

***

# 12
{
  "formula": "Li2Mg2Zn",
  "functional": "SCAN",
  "state": "PBEsol geometry",
  "dos_ef_per_ev_cell": 3.920,
  "formation_energy_ev_per_fu": 0.34,
  "volume_a3_per_atom": 19.05,
  "lattice": [[3.5637, 0.0000, 0.0000], [0.0000, 7.3116, 0.0000], [0.0000, 0.0000, 7.3116]],
  "species": ["Zn", "Zn", "Mg", "Mg", "Mg", "Mg", "Li", "Li", "Li", "Li"],
  "frac_coords": [[0.0000, 0.0000, 0.0000], [0.0000, 0.5000, 0.5000], [0.0000, 0.3552, 0.8552], [0.0000, 0.8552, 0.6448], [0.0000, 0.6448, 0.1448], [0.0000, 0.1448, 0.3552], [0.5000, 0.1573, 0.6573], [0.5000, 0.6573, 0.8427], [0.5000, 0.8427, 0.3427], [0.5000, 0.3427, 0.1573]]
}